No. 1
Mn2PbBr | PBE | optimized geometry

Calculated values
The calculation puts the energy above the lowest structure with this stoichiometry at 0.2895 eV/atom. As for the space group: C2/m (12). Its formation energy (no corrections) is 43.0 kJ per mole of atoms. For the calculated density, the calculation gives 7.28 g/cm3.

a b c (Å): 7.400 5.339 3.283
angles (deg): 79.65 79.36 129.51
Each line ends with the local moment (μB).
Element x y z (fractional)
Br (0.500, 0.500, 0.000)  0.09
Pb (0.000, 0.500, 0.500)  -0.11
Mn (0.500, 0.000, 0.500)  4.04
Mn (0.000, 0.000, 0.000)  4.04

No. 2
Mn2PbBr | PBE | optimized geometry

Calculated values
The calculation puts the energy above the lowest structure with this stoichiometry at 0.3202 eV/atom. As for the space group: Immm (71). Its formation energy (no corrections) is 46.0 kJ per mole of atoms. For the calculated density, the calculation gives 7.43 g/cm3.

a b c (Å): 5.642 5.642 5.642
angles (deg): 145.37 117.75 73.23
Each line ends with the local moment (μB).
Element x y z (fractional)
Pb (0.750, 0.250, 0.500)  -0.10
Mn (0.012, 0.012, 0.000)  3.87
Mn (0.488, 0.488, 0.000)  3.87
Br (0.250, 0.750, 0.500)  0.04

No. 3
Mn2PbBr | PBE | optimized geometry

Calculated values
The calculation puts the energy above the lowest structure with this stoichiometry at 1.0345 eV/atom. As for the space group: Fm-3m (225). Its formation energy (no corrections) is 114.9 kJ per mole of atoms. For the calculated density, the calculation gives 9.90 g/cm3.

a b c (Å): 4.549 4.549 4.549
angles (deg): 60.00 60.00 60.00
Element x y z (fractional)
Mn (0.750, 0.750, 0.750)
Br (0.000, 0.000, 0.000)
Pb (0.500, 0.500, 0.500)
Mn (0.250, 0.250, 0.250)

No. 4
MnRe2PbBr | PBE | optimized geometry

Calculated values
As for the space group: P4/mmm (123). Its formation energy (no corrections) is 149.6 kJ per mole of atoms. For the calculated density, the calculation gives 11.19 g/cm3.

a b c (Å): 4.608 4.993 4.608
angles (deg): 90.00 90.00 90.00
Each line ends with the local moment (μB).
Element x y z (fractional)
Re (0.000, 0.000, 0.500)  1.14
Re (0.500, 0.000, 0.000)  1.11
Br (0.000, 0.500, 0.000)  0.07
Pb (0.500, 0.500, 0.500)  -0.04
Mn (0.000, 0.000, 0.000)  -1.20

No. 5
MnPbS2Br | PBE | optimized geometry

Calculated values
As for the space group: P4/mmm (123). Its formation energy (no corrections) is 97.2 kJ per mole of atoms. For the calculated density, the calculation gives 4.75 g/cm3.

a b c (Å): 5.030 5.606 5.030
angles (deg): 90.00 90.00 90.00
Each line ends with the local moment (μB).
Element x y z (fractional)
Mn (0.500, 0.500, 0.500)  4.42
S (0.500, 0.000, 0.000)  0.03
S (0.000, 0.000, 0.500)  0.01
Br (0.000, 0.000, 0.000)  -0.03
Pb (0.000, 0.500, 0.000)  -0.12

No. 6
MnPbSeBr2 | PBE | optimized geometry

Calculated values
The calculation puts the energy above the lowest structure with this stoichiometry at 0.0000 eV/atom. As for the space group: P4/mmm (123). Its formation energy (no corrections) is -36.5 kJ per mole of atoms. For the calculated density, the calculation gives 6.04 g/cm3.

a b c (Å): 5.145 5.145 5.201
angles (deg): 90.00 90.00 90.00
Each line ends with the local moment (μB).
Element x y z (fractional)
Pb (0.500, 0.500, 0.500)  0.01
Mn (0.000, 0.000, 0.000)  4.22
Br (0.500, 0.000, 0.000)  0.06
Se (0.000, 0.000, 0.500)  0.04
Br (0.000, 0.500, 0.000)  0.06

No. 7
MnSn2PbBr8 | PBE | optimized geometry

Calculated values
As for the space group: P2/m (10). Its formation energy (no corrections) is -74.9 kJ per mole of atoms. For the calculated density, the calculation gives 4.58 g/cm3.

a b c (Å): 7.049 6.697 8.750
angles (deg): 90.00 90.00 89.32
Each line ends with the local moment (μB).
Element x y z (fractional)
Br (0.846, 0.227, 0.778)  0.03
Br (0.653, 0.735, 0.500)  0.01
Br (0.846, 0.227, 0.222)  0.03
Br (0.682, 0.758, 0.000)  0.02
Br (0.318, 0.242, 0.000)  0.02
Sn (0.500, 0.500, 0.763)  0.02
Sn (0.500, 0.500, 0.237)  0.02
Mn (0.000, 0.000, 0.000)  4.38
Br (0.154, 0.773, 0.778)  0.03
Pb (0.000, 0.000, 0.500)  0.01
Br (0.347, 0.265, 0.500)  0.01
Br (0.154, 0.773, 0.222)  0.03

No. 8
SrMnPb2Br8 | PBE | optimized geometry

Calculated values
As for the space group: P2/m (10). Its formation energy (no corrections) is -111.0 kJ per mole of atoms. For the calculated density, the calculation gives 4.67 g/cm3.

a b c (Å): 7.094 6.749 8.876
angles (deg): 90.00 90.00 89.41
Each line ends with the local moment (μB).
Element x y z (fractional)
Br (0.317, 0.236, 0.000)  0.02
Br (0.348, 0.261, 0.500)  0.01
Br (0.683, 0.764, 0.000)  0.02
Br (0.652, 0.739, 0.500)  0.01
Br (0.150, 0.775, 0.779)  0.03
Pb (0.500, 0.500, 0.764)  0.01
Br (0.850, 0.225, 0.221)  0.03
Br (0.150, 0.774, 0.221)  0.03
Sr (0.000, 0.000, 0.500)  0.00
Mn (0.000, 0.000, 0.000)  4.40
Pb (0.500, 0.500, 0.236)  0.01
Br (0.850, 0.226, 0.779)  0.03

No. 9
SrMnPbBr6 | PBE | optimized geometry

Calculated values
As for the space group: P-31c (163). Its formation energy (no corrections) is -119.7 kJ per mole of atoms. For the calculated density, the calculation gives 4.47 g/cm3.

a b c (Å): 7.377 7.377 13.081
angles (deg): 90.00 90.00 120.00
Each line ends with the local moment (μB).
Element x y z (fractional)
Br (0.670, 0.037, 0.371)  0.03
Br (0.367, 0.037, 0.129)  0.03
Mn (0.333, 0.667, 0.750)  4.39
Mn (0.667, 0.333, 0.250)  4.39
Pb (0.000, 0.000, 0.500)  0.03
Br (0.330, 0.367, 0.871)  0.03
Br (0.367, 0.330, 0.371)  0.03
Br (0.633, 0.670, 0.629)  0.03
Sr (0.667, 0.333, 0.750)  0.00
Br (0.963, 0.633, 0.371)  0.03
Br (0.670, 0.633, 0.129)  0.03
Br (0.633, 0.963, 0.871)  0.03
Pb (0.000, 0.000, 0.000)  0.03
Sr (0.333, 0.667, 0.250)  0.00
Br (0.963, 0.330, 0.129)  0.03
Br (0.037, 0.670, 0.871)  0.03
Br (0.037, 0.367, 0.629)  0.03
Br (0.330, 0.963, 0.629)  0.03

No. 10
Mn2Tl3PbBr9 | PBE | optimized geometry

Calculated values
As for the space group: P-3m1 (164). Its formation energy (no corrections) is -76.3 kJ per mole of atoms. For the calculated density, the calculation gives 5.30 g/cm3.

a b c (Å): 7.695 7.695 10.083
angles (deg): 90.00 90.00 120.00
Each line ends with the local moment (μB).
Element x y z (fractional)
Mn (0.333, 0.667, 0.167)  4.37
Tl (0.667, 0.333, 0.251)  0.00
Br (0.337, 0.168, 0.698)  0.04
Mn (0.667, 0.333, 0.833)  4.37
Br (0.168, 0.337, 0.302)  0.04
Br (0.832, 0.168, 0.698)  0.04
Br (0.663, 0.832, 0.302)  0.04
Br (0.832, 0.663, 0.698)  0.04
Br (0.500, 0.000, 0.000)  0.04
Pb (0.000, 0.000, 0.500)  0.06
Br (0.500, 0.500, 0.000)  0.04
Tl (0.000, 0.000, 0.000)  0.00
Tl (0.333, 0.667, 0.749)  0.00
Br (0.000, 0.500, 0.000)  0.04
Br (0.168, 0.832, 0.302)  0.04